GdAgGeTe2S: relaxed, PBE-GGA.

**Energy**: -4.356 eV per atom
**Mass density**: 6.61 g cm⁻³

a b c (Å): 7.6006 7.6006 10.1733
angles (deg): 90.00 90.00 147.72
With the nearest neighbours (Å) after each atom.
Atoms (fractional coordinates):
Te: 0.6565 0.3435 0.5586  1 Ag 2.84, 2 Ge 3.09, 2 Gd 3.17
Te: 0.3435 0.6565 0.4414  1 Ag 2.84, 2 Ge 3.09, 2 Gd 3.17
Te: 0.3435 0.6565 0.0586  1 Ag 2.84, 2 Ge 3.09, 2 Gd 3.17
Te: 0.6565 0.3435 0.9414  1 Ag 2.84, 2 Ge 3.09, 2 Gd 3.17
Ge: 0.2345 0.7655 0.7500  4 Te 3.09, 2 S 3.43
Ge: 0.7655 0.2345 0.2500  4 Te 3.09, 2 S 3.43
S: 0.9194 0.0806 0.7500  2 Ag 2.54, 2 Gd 2.80
S: 0.0806 0.9194 0.2500  2 Ag 2.54, 2 Gd 2.80
Ag: 0.5153 0.4847 0.7500  2 S 2.54, 2 Te 2.84
Ag: 0.4847 0.5153 0.2500  2 S 2.54, 2 Te 2.84
Gd: 0.0000 0.0000 0.0000  2 S 2.80
Gd: 0.0000 0.0000 0.5000  2 S 2.80